## 1
Fe2Ni2Pd: optimized geometry, GGA-PBE.

Results
- space group = No. 139
- D(E_F) (states/eV per atom) = 0.827

Unit cell a=3.432 b=3.432 c=6.190 alpha=73.91 beta=73.91 gamma=90.00
Sites, in units of the cell vectors:
1 Ni 0.250 0.750 0.500
2 Ni 0.750 0.250 0.500
3 Fe 0.604 0.604 0.793
4 Fe 0.396 0.396 0.207
5 Pd 0.000 0.000 0.000

---

## 2
Fe2Ni2Pd: optimized geometry, GGA-PBE.

Results
- space group = No. 127
- D(E_F) (states/eV per atom) = 1.106

Unit cell a=6.934 b=6.934 c=2.619 alpha=90.00 beta=90.00 gamma=90.00
Sites, in units of the cell vectors:
1 Ni 0.829 0.329 0.500
2 Ni 0.171 0.671 0.500
3 Ni 0.329 0.171 0.500
4 Ni 0.671 0.829 0.500
5 Fe 0.124 0.376 0.000
6 Fe 0.624 0.124 0.000
7 Fe 0.876 0.624 0.000
8 Fe 0.376 0.876 0.000
9 Pd 0.500 0.500 0.000
10 Pd 0.000 0.000 0.000

---

Tell me which of them is the least stable. Sure, it is 1.

---

## 1
FeNiPd4: optimized geometry, GGA-PBE.

Results
- space group = No. 112
- D(E_F) (states/eV per atom) = 1.266

Unit cell a=5.905 b=5.905 c=5.341 alpha=90.00 beta=90.00 gamma=90.00
Sites, in units of the cell vectors:
1 Ni 0.000 0.000 0.000
2 Ni 0.000 0.000 0.500
3 Pd 0.678 0.755 0.392
4 Pd 0.755 0.678 0.892
5 Pd 0.755 0.322 0.608
6 Pd 0.245 0.678 0.608
7 Pd 0.322 0.755 0.108
8 Pd 0.678 0.245 0.108
9 Pd 0.245 0.322 0.892
10 Pd 0.322 0.245 0.392
11 Fe 0.500 0.000 0.750
12 Fe 0.000 0.500 0.250

---

## 2
FeNiPd4: optimized geometry, GGA-PBE.

Results
- space group = No. 12
- D(E_F) (states/eV per atom) = 1.106

Unit cell a=7.129 b=7.129 c=4.790 alpha=70.11 beta=70.11 gamma=22.15
Sites, in units of the cell vectors:
1 Pd 0.160 0.160 0.507
2 Pd 0.840 0.840 0.493
3 Pd 0.341 0.341 0.993
4 Pd 0.659 0.659 0.007
5 Fe 0.000 0.000 0.000
6 Ni 0.500 0.500 0.500

---

Tell me which of them is the least stable. Sure, it is 1.

---

## 1
FeNi6Pd: optimized geometry, GGA-PBE.

Results
- space group = No. 187
- D(E_F) (states/eV per atom) = 1.512

Unit cell a=4.130 b=5.110 c=5.110 alpha=119.99 beta=90.00 gamma=90.00
Sites, in units of the cell vectors:
1 Fe 0.500 0.417 0.583
2 Ni 0.500 0.912 0.088
3 Ni 0.500 0.912 0.574
4 Ni 0.000 0.585 0.415
5 Ni 0.000 0.585 0.919
6 Ni 0.500 0.426 0.088
7 Ni 0.000 0.081 0.415
8 Pd 0.000 0.083 0.917

---

## 2
FeNi6Pd: optimized geometry, GGA-PBE.

Results
- space group = No. 123
- D(E_F) (states/eV per atom) = 1.375

Unit cell a=3.598 b=3.598 c=7.186 alpha=90.00 beta=90.00 gamma=90.00
Sites, in units of the cell vectors:
1 Ni 0.000 0.500 0.739
2 Ni 0.500 0.500 0.000
3 Ni 0.500 0.000 0.739
4 Ni 0.500 0.000 0.261
5 Ni 0.500 0.500 0.500
6 Ni 0.000 0.500 0.261
7 Pd 0.000 0.000 0.000
8 Fe 0.000 0.000 0.500

---

Tell me which of them is the least stable. Sure, it is 1.

---

## 1
Fe2NiPd2: optimized geometry, GGA-PBE.

Results
- space group = No. 127
- D(E_F) (states/eV per atom) = 0.959

Unit cell a=7.209 b=7.209 c=2.739 alpha=90.00 beta=90.00 gamma=90.00
Sites, in units of the cell vectors:
1 Ni 0.000 0.000 0.000
2 Ni 0.500 0.500 0.000
3 Pd 0.820 0.320 0.500
4 Pd 0.320 0.180 0.500
5 Pd 0.180 0.680 0.500
6 Pd 0.680 0.820 0.500
7 Fe 0.383 0.883 0.000
8 Fe 0.617 0.117 0.000
9 Fe 0.883 0.617 0.000
10 Fe 0.117 0.383 0.000

---

## 2
Fe2NiPd2: optimized geometry, GGA-PBE.

Results
- space group = No. 127
- D(E_F) (states/eV per atom) = 0.758

Unit cell a=3.861 b=6.052 c=6.052 alpha=90.00 beta=90.00 gamma=90.00
Sites, in units of the cell vectors:
1 Pd 0.500 0.333 0.167
2 Pd 0.500 0.833 0.333
3 Pd 0.500 0.167 0.667
4 Pd 0.500 0.667 0.833
5 Fe 0.000 0.864 0.636
6 Fe 0.000 0.636 0.136
7 Fe 0.000 0.364 0.864
8 Fe 0.000 0.136 0.364
9 Ni 0.000 0.500 0.500
10 Ni 0.000 0.000 0.000

---

Tell me which of them is the least stable. Sure, it is 1.